(1)
Material: ScRu2Au
Method: DFT, PBE
State: relaxed

Structure (POSCAR):
```
ScRu2Au
1.0
3.3659 0.0000 0.0000
0.0000 3.3659 0.0000
0.0000 0.0000 5.8746
Ru Au Sc
2 1 1
Cartesian
0.0000 0.0000 0.1918 Ru
1.6830 1.6830 1.3244 Ru
1.6830 1.6830 4.4079 Au
0.0000 0.0000 2.8877 Sc
```

Output
* polymorph energy (0 for the lowest one): 95.1 meV/atom
* electronic total energy: -28.6 eV per formula unit

---

(2)
Material: Sc3RuAu
Method: DFT, PBE
State: relaxed

Structure (POSCAR):
```
Sc3RuAu
1.0
4.9330 0.0000 0.0000
0.0000 4.9330 0.0000
0.0000 0.0000 4.9330
Ru Sc Au
1 3 1
Cartesian
0.0000 0.0000 0.0000 Ru
0.0000 2.4665 0.0000 Sc
2.4665 0.0000 0.0000 Sc
0.0000 0.0000 2.4665 Sc
2.4665 2.4665 2.4665 Au
```

Output
* polymorph energy (0 for the lowest one): 0.0 meV/atom
* electronic total energy: -32.3 eV per formula unit

---

(3)
Material: Sc2RuAu
Method: DFT, PBE
State: relaxed

Structure (POSCAR):
```
Sc2RuAu
1.0
1.8086 0.0000 9.4123
-0.9043 1.5663 9.4123
-0.9043 -1.5663 9.4123
Sc Au Ru
2 1 1
Cartesian
0.0000 0.0000 25.4680 Sc
0.0000 0.0000 2.7691 Sc
0.0000 0.0000 0.0000 Au
0.0000 0.0000 14.1185 Ru
```

Output
* electronic total energy: -25.7 eV per formula unit

---

(4)
Material: ScRu2Au
Method: DFT, PBE
State: relaxed

Structure (POSCAR):
```
ScRu2Au
1.0
4.8988 -0.0021 0.0000
1.6249 4.6215 0.0000
-3.2618 -2.3097 2.8327
Ru Sc Au
2 1 1
Cartesian
0.0000 0.0000 0.0000 Ru
0.8124 2.3108 1.4164 Ru
3.2618 2.3097 0.0000 Sc
2.4494 -0.0011 1.4164 Au
```

Output
* polymorph energy (0 for the lowest one): 35.9 meV/atom
* electronic total energy: -28.8 eV per formula unit

---

(5)
Material: ScRu2Au
Method: DFT, PBE
State: relaxed

Structure (POSCAR):
```
ScRu2Au
1.0
4.9247 -0.0180 0.0000
1.6711 4.6326 0.0000
-3.2979 -2.3073 2.8379
Au Ru Sc
1 2 1
Cartesian
2.4624 -0.0090 1.4189 Au
3.2979 2.3073 0.0000 Ru
0.0000 0.0000 0.0000 Ru
0.8355 2.3163 1.4189 Sc
```

Output
* polymorph energy (0 for the lowest one): 163.4 meV/atom
* electronic total energy: -28.3 eV per formula unit

---

(6)
Material: Sc3RuAu
Method: DFT, PBE
State: relaxed

Structure (POSCAR):
```
Sc3RuAu
1.0
-0.7342 -3.5583 3.4810
1.9370 -3.4455 -3.1136
4.5855 0.8856 1.8726
Sc Ru Au
3 1 1
Cartesian
-0.3671 -1.7792 1.7405 Sc
2.2928 0.4428 0.9363 Sc
0.9685 -1.7228 -1.5568 Sc
2.8941 -3.0591 1.1200 Ru
0.0000 0.0000 0.0000 Au
```

Output
* polymorph energy (0 for the lowest one): 685.7 meV/atom
* electronic total energy: -28.9 eV per formula unit

---

(7)
Material: Sc2RuAu
Method: DFT, PBE
State: relaxed

Structure (POSCAR):
```
Sc2RuAu
1.0
-1.4189 0.7285 -2.8228
-0.7491 -3.1248 -0.4299
-6.0081 0.9897 3.2754
Au Sc Ru
1 2 1
Cartesian
-2.5860 -0.9507 -0.8075 Au
-5.8600 0.9653 3.1947 Sc
-3.1521 0.5192 1.7184 Sc
-5.5901 -0.4559 0.8302 Ru
```

Output
* electronic total energy: -28.2 eV per formula unit

---

(8)
Material: Sc2RuAu
Method: DFT, PBE
State: relaxed

Structure (POSCAR):
```
Sc2RuAu
1.0
-1.2114 -2.3244 8.0289
-2.0328 -5.0717 6.4404
1.1153 -4.4380 7.0988
Au Sc Ru
1 2 1
Cartesian
-0.5322 -2.9585 5.3920 Au
-1.0491 -5.8313 10.6279 Sc
-0.0154 -0.0857 0.1562 Sc
-1.5967 -8.8755 16.1761 Ru
```

Output
* electronic total energy: -26.8 eV per formula unit

---

(9)
Material: ScRuAu4
Method: DFT, PBE
State: relaxed

Structure (POSCAR):
```
ScRuAu4
1.0
0.0000 3.8304 3.8304
3.8304 0.0000 3.8304
3.8304 3.8304 0.0000
Au Ru Sc
4 1 1
Cartesian
2.8743 2.8743 2.8743 Au
4.7865 2.8743 4.7865 Au
4.7865 4.7865 2.8743 Au
2.8743 4.7865 4.7865 Au
5.7456 5.7456 5.7456 Ru
0.0000 0.0000 0.0000 Sc
```

Output
* electronic total energy: -28.3 eV per formula unit

---

(10)
Material: ScRu2Au
Method: DFT, PBE
State: relaxed

Structure (POSCAR):
```
ScRu2Au
1.0
2.8158 -0.0102 0.0000
-1.0922 2.5954 0.0000
0.0000 0.0000 8.9462
Ru Sc Au
2 1 1
Cartesian
0.0000 0.0000 4.3670 Ru
0.0000 0.0000 0.1061 Ru
0.8618 1.2926 2.2365 Sc
0.8618 1.2926 6.7096 Au
```

Output
* polymorph energy (0 for the lowest one): 364.5 meV/atom
* electronic total energy: -27.5 eV per formula unit

---

(11)
Material: Sc4Ru3Au
Method: DFT, PBE
State: relaxed

Structure (POSCAR):
```
Sc4Ru3Au
1.0
-2.5623 -1.9650 -3.2298
5.4583 -1.8338 -3.2146
0.1194 -7.8446 4.6779
Ru Au Sc
6 2 8
Cartesian
0.0000 0.0000 0.0000 Ru
1.5373 -7.7831 0.2859 Ru
-1.1917 -6.8660 1.8934 Ru
-1.2512 -2.9436 -0.4453 Ru
1.4782 -3.8603 -2.0523 Ru
0.0597 -3.9223 2.3390 Ru
2.7889 -4.8392 0.7317 Au
2.7292 -0.9169 -1.6073 Au
1.6298 -5.3243 -4.5111 Sc
0.0152 -1.4180 -2.3784 Sc
0.0750 -5.3404 -0.0394 Sc
-1.2359 -4.3615 -2.8235 Sc
1.3857 -6.3192 2.7447 Sc
2.9405 -6.3031 -1.7270 Sc
2.8808 -2.3808 -4.0660 Sc
4.2513 -7.2819 1.0570 Sc
```

Output
* electronic total energy: -61.7 eV per formula unit

---

(12)
Material: ScRu2Au
Method: DFT, PBE
State: relaxed

Structure (POSCAR):
```
ScRu2Au
1.0
-1.2473 2.4911 0.8550
-3.4076 -1.0513 -1.9082
-1.8322 -2.5160 4.6581
Ru Sc Au
2 1 1
Cartesian
-0.8699 -1.1946 2.2116 Ru
-0.0462 -0.0634 0.1175 Ru
-2.7855 0.0909 0.6379 Sc
-3.7016 -1.1671 2.9669 Au
```

Output
* polymorph energy (0 for the lowest one): 246.6 meV/atom
* electronic total energy: -28.0 eV per formula unit

---

Number 1: ΔH_f (0 K) -0.102 eV per atom. Number 2: ΔH_f (0 K) -0.157 eV per atom. Number 3: ΔH_f (0 K) -0.112 eV per atom. Number 4: ΔH_f (0 K) -0.161 eV per atom. Number 5: ΔH_f (0 K) -0.034 eV per atom. Number 6: ΔH_f (0 K) 0.529 eV per atom. Number 7: ΔH_f (0 K) -0.753 eV per atom. Number 8: ΔH_f (0 K) -0.406 eV per atom. Number 9: ΔH_f (0 K) 0.063 eV per atom. Number 10: ΔH_f (0 K) 0.167 eV per atom. Number 11: ΔH_f (0 K) -0.655 eV per atom. Number 12: ΔH_f (0 K) 0.049 eV per atom.